A | {"formula": "YGaI2", "functional": "PBE", "state": "relaxed", "lattice": [[-5.501, 5.501, 2.999], [5.501, -5.501, 2.999], [5.501, 5.501, -2.999]], "species": ["Y", "Y", "Ga", "Ga", "I", "I", "I", "I"], "fractional_positions": [[0.000, 0.000, 0.000], [0.750, 0.250, 0.500], [0.250, 0.750, 0.500], [0.500, 0.500, 0.000], [0.375, 0.027, 0.152], [0.777, 0.625, 0.652], [0.875, 0.223, 0.848], [0.973, 0.125, 0.348]]}

***

B | {"formula": "YGaI2", "functional": "PBE", "state": "relaxed", "lattice": [[0.000, 3.880, 3.880], [3.880, 0.000, 3.880], [3.880, 3.880, 0.000]], "species": ["Y", "Ga", "I", "I"], "fractional_positions": [[0.000, 0.000, 0.000], [0.500, 0.500, 0.500], [0.250, 0.250, 0.250], [0.750, 0.750, 0.750]]}

***

Winner for stability: A

***

A | {"formula": "YGa2I", "functional": "PBE", "state": "relaxed", "lattice": [[-4.239, 4.239, 3.045], [4.239, -4.239, 3.045], [4.239, 4.239, -3.045]], "species": ["Y", "Y", "Ga", "Ga", "Ga", "Ga", "I", "I"], "fractional_positions": [[0.000, 0.000, 0.000], [0.750, 0.250, 0.500], [0.110, 0.125, 0.485], [0.375, 0.890, 0.015], [0.640, 0.625, 0.515], [0.875, 0.360, 0.985], [0.250, 0.750, 0.500], [0.500, 0.500, 0.000]]}

***

B | {"formula": "YGa2I", "functional": "PBE", "state": "relaxed", "lattice": [[0.000, 3.759, 3.759], [3.759, 0.000, 3.759], [3.759, 3.759, 0.000]], "species": ["Y", "Ga", "Ga", "I"], "fractional_positions": [[0.000, 0.000, 0.000], [0.250, 0.250, 0.250], [0.750, 0.750, 0.750], [0.500, 0.500, 0.500]]}

***

Winner for stability: A